(1)
# La2Gd2Mg (PBE-GGA, optimized geometry)
data_La2Gd2Mg
_space_group_name_H-M_alt 'P 4/m b m'
_space_group_IT_number 127
_space_group_name_Hall '-P 4 2ab'
_cell_length_a 8.9040
_cell_length_b 8.9040
_cell_length_c 4.1987
_cell_angle_alpha 90.00
_cell_angle_beta 90.00
_cell_angle_gamma 90.00
loop_
_atom_site_label
_atom_site_type_symbol
_atom_site_fract_x
_atom_site_fract_y
_atom_site_fract_z
La1 La 0.1590 0.3410 0.0000
Gd1 Gd 0.1448 0.6448 0.5000
Mg1 Mg 0.0000 0.0000 0.5000
# Total magnetic moment: 0.00 μB/f.u.
# Crystal system: tetragonal
# Raw total energy: -0.1466 hartree per atom

=====

(2)
# KCdPbAu (PBE-GGA, optimized geometry)
data_KCdPbAu
_space_group_name_H-M_alt 'F -4 3 m'
_space_group_IT_number 216
_space_group_name_Hall 'F -4 2 3'
_cell_length_a 7.4385
_cell_length_b 7.4385
_cell_length_c 7.4385
_cell_angle_alpha 90.00
_cell_angle_beta 90.00
_cell_angle_gamma 90.00
loop_
_atom_site_label
_atom_site_type_symbol
_atom_site_fract_x
_atom_site_fract_y
_atom_site_fract_z
K1 K 0.0000 0.0000 0.0000
Cd1 Cd 0.2500 0.2500 0.2500
Pb1 Pb 0.2500 0.2500 0.7500
Au1 Au 0.0000 0.0000 0.5000
# Crystal system: cubic
# Energy above the most stable polymorph in this dataset: 56 meV per atom
# Raw total energy: -0.0825 hartree per atom

=====

(3)
# Pr (PBE-GGA, optimized geometry)
data_Pr
_space_group_name_H-M_alt 'P m -3 n'
_space_group_IT_number 223
_space_group_name_Hall '-P 4n 2 3'
_cell_length_a 6.5643
_cell_length_b 6.5643
_cell_length_c 6.5643
_cell_angle_alpha 90.00
_cell_angle_beta 90.00
_cell_angle_gamma 90.00
loop_
_atom_site_label
_atom_site_type_symbol
_atom_site_fract_x
_atom_site_fract_y
_atom_site_fract_z
Pr1 Pr 0.0000 0.0000 0.0000
Pr2 Pr 0.0000 0.2500 0.5000
# Total magnetic moment: 0.01 μB/f.u.
# Crystal system: cubic
# Formation energy: 0.1718 eV per atom
# Energy above the most stable polymorph in this dataset: 172 meV per atom
# Raw total energy: -0.1692 hartree per atom

=====

(4)
# La2Zn4CuPd (PBE-GGA, optimized geometry)
data_La2Zn4CuPd
_space_group_name_H-M_alt 'A m m 2'
_space_group_IT_number 38
_space_group_name_Hall 'A 2 -2'
_cell_length_a 7.3157
_cell_length_b 4.3562
_cell_length_c 9.9463
_cell_angle_alpha 90.00
_cell_angle_beta 90.00
_cell_angle_gamma 90.00
loop_
_atom_site_label
_atom_site_type_symbol
_atom_site_fract_x
_atom_site_fract_y
_atom_site_fract_z
La1 La 0.0000 0.0000 0.0000
La2 La 0.5000 0.0000 0.1400
Zn1 Zn 0.1960 0.0000 0.7144
Zn2 Zn 0.3141 0.0000 0.4256
Cu1 Cu 0.5000 0.0000 0.8511
Pd1 Pd 0.0000 0.0000 0.2833
# Total magnetic moment: 0.00 μB/f.u.
# Crystal system: orthorhombic
# Formation energy: -0.4620 eV per atom
# Raw total energy: -0.1263 hartree per atom